No. 1
CaHgN2 | PBE | optimized geometry

```
data_CaHgN2
_cell_length_a 4.903
_cell_length_b 4.903
_cell_length_c 12.221
_cell_angle_alpha 90.00
_cell_angle_beta 90.00
_cell_angle_gamma 90.00
_space_group_name_H-M_alt 'I -4 2 d'
_space_group_IT_number 122
_space_group_name_Hall 'I -4 2bw'
loop_
_atom_site_label
_atom_site_fract_x
_atom_site_fract_y
_atom_site_fract_z
Ca1 0.000 0.000 0.000
Hg1 0.000 0.000 0.500
N1 0.227 0.250 0.625
```

mass density: 6.075 Mg/m³
VASP energy: -4.03 eV/atom
energy relative to the elements, uncorrected: 0.709 eV/atom

No. 2
Ca6HgN2 | PBE | optimized geometry

```
data_Ca6HgN2
_cell_length_a 13.770
_cell_length_b 4.501
_cell_length_c 9.141
_cell_angle_alpha 90.00
_cell_angle_beta 100.90
_cell_angle_gamma 90.00
_space_group_name_H-M_alt 'C 1 2/m 1'
_space_group_IT_number 12
loop_
_space_group_symop_operation_xyz
'x,y,z'
'-x,-y,-z'
'-x,y,-z'
'x,-y,z'
'x+1/2,y+1/2,z'
'-x+1/2,-y+1/2,-z'
'-x+1/2,y+1/2,-z'
'x+1/2,-y+1/2,z'
loop_
_atom_site_label
_atom_site_fract_x
_atom_site_fract_y
_atom_site_fract_z
Ca1 0.095 0.000 0.216
Ca2 0.155 0.500 0.610
Ca3 0.204 0.000 0.888
Hg1 0.000 0.000 0.500
N1 0.245 0.000 0.157
```

mass density: 2.801 Mg/m³
VASP energy: -3.74 eV/atom
energy relative to the elements, uncorrected: -0.526 eV/atom

No. 3
Ca6HgN | PBE | optimized geometry

```
data_Ca6HgN
_cell_length_a 7.599
_cell_length_b 10.542
_cell_length_c 6.435
_cell_angle_alpha 90.00
_cell_angle_beta 102.77
_cell_angle_gamma 90.00
_space_group_name_H-M_alt 'C 1 2/m 1'
_space_group_IT_number 12
loop_
_space_group_symop_operation_xyz
'x,y,z'
'-x,-y,-z'
'-x,y,-z'
'x,-y,z'
'x+1/2,y+1/2,z'
'-x+1/2,-y+1/2,-z'
'-x+1/2,y+1/2,-z'
'x+1/2,-y+1/2,z'
loop_
_atom_site_label
_atom_site_fract_x
_atom_site_fract_y
_atom_site_fract_z
Ca1 0.129 0.163 0.258
Ca2 0.229 0.500 0.138
Hg1 0.000 0.500 0.500
N1 0.000 0.000 0.000
```

mass density: 3.007 Mg/m³
VASP energy: -2.96 eV/atom
energy relative to the elements, uncorrected: -0.378 eV/atom

No. 4
CaHg2N | PBE | optimized geometry

```
data_CaHg2N
_cell_length_a 8.526
_cell_length_b 8.526
_cell_length_c 4.778
_cell_angle_alpha 90.00
_cell_angle_beta 90.00
_cell_angle_gamma 90.00
_space_group_name_H-M_alt 'I -4 2 d'
_space_group_IT_number 122
_space_group_name_Hall 'I -4 2bw'
loop_
_atom_site_label
_atom_site_fract_x
_atom_site_fract_y
_atom_site_fract_z
Ca1 0.000 0.000 0.000
Hg1 0.155 0.250 0.625
N1 0.000 0.000 0.500
```

mass density: 8.708 Mg/m³
VASP energy: -2.60 eV/atom
energy relative to the elements, uncorrected: 0.131 eV/atom